A relaxed PrSi2Pd crystal, computed with PBE.

Cell lengths 7.3456, 4.0077, 10.3386 Å; angles 90.00, 90.00, 90.00 degrees
Closest atoms and distances in Å follow each position.
Space group Pnma (No. 62)
One atom of each set of equivalent atoms:
Pr1 0.1370 0.2500 0.1296 x4  9 Si 3.06-3.19, 2 Pd 3.32
Si1 0.1707 0.2500 0.8219 x4  2 Pd 2.44-2.52, 2 Si 2.45
Si2 0.2111 0.2500 0.4289 x4  2 Si 2.45, 3 Pd 2.48-2.59
Pd1 0.0027 0.2500 0.6180 x4  5 Si 2.44-2.59

**DFT total energy**: -96.8 eV for the cell shown

A relaxed PmNd5Se6 crystal, computed with PBE.

Cell lengths 7.3037, 12.6870, 7.2959 Å; angles 90.00, 109.61, 90.00 degrees
Closest atoms and distances in Å follow each position.
Space group C2/m (No. 12)
One atom of each set of equivalent atoms:
Pm1 0.0000 0.0000 0.0000 x2  6 Se 2.97
Nd1 0.0000 0.1677 0.5000 x4  6 Se 2.98-2.99
Nd2 0.0000 0.3330 0.0000 x4  6 Se 2.98-2.99
Nd3 0.0000 0.5000 0.5000 x2  6 Se 2.98-3.00
Se1 0.2485 0.0000 0.7506 x4  1 Pm 2.97, 5 Nd 2.99-3.00
Se2 0.2488 0.1657 0.2488 x8  1 Pm 2.97, 5 Nd 2.98-2.99

**DFT total energy**: -143.1 eV for the cell shown

A relaxed TbHIBr crystal, computed with PBE.

Cell lengths 3.9364, 3.9364, 15.4788 Å; angles 90.00, 90.00, 120.00 degrees
Closest atoms and distances in Å follow each position.
Space group P6_3mc (No. 186)
One atom of each set of equivalent atoms:
Tb1 0.0000 0.0000 0.0000 x2  3 H 2.27
H1 0.3333 0.6667 0.4970 x2  3 Tb 2.27
I1 0.3333 0.6667 0.8614 x2  3 H 3.09, 3 Tb 3.12
Br1 0.3333 0.6667 0.1219 x2  3 Tb 2.95, 3 H 2.98

**DFT total energy**: -33.3 eV for the cell shown

> Which formula does entry 3 have?

TbHIBr